# Rb3I2N2

A relaxed Rb3I2N2 crystal (GGA-PBE, the Alexandria database). Values from VASP.

Summary:
* SG: Immm, No. 71
* VASP energy: -4.06 eV/atom
* ΔE_f (raw): -822.2 meV per atom

Geometry as Quantum ESPRESSO input:
```
&SYSTEM
  ibrav = 0, nat = 7, ntyp = 3
/
ATOMIC_SPECIES
Rb 85.47 Rb.upf
I 126.90 I.upf
N 14.01 N.upf
CELL_PARAMETERS angstrom
-2.458 2.898 10.287
2.458 -2.898 10.287
2.458 2.898 -10.287
ATOMIC_POSITIONS angstrom
Rb 0.000 0.000 0.000
Rb 0.000 0.000 7.236
Rb 0.000 0.000 13.338
I 0.000 0.000 3.517
I 0.000 0.000 17.057
N 0.592 2.898 0.000
N 1.866 0.000 10.287
```